Tl2TcRu2 | PBE-GGA | relaxed

abc: 3.9260 3.9260 13.1195
angles: 90.00 90.00 90.00
With the nearest neighbours (Å) after each atom.
Space group I4/mmm (No. 139)
Asymmetric unit:
Tl 0.0000 0.5000 0.2500 (multiplicity 4)  4 Tl 2.78, 4 Ru 2.88
Tc 0.0000 0.0000 0.0000 (multiplicity 2)  8 Ru 3.01
Ru 0.0000 0.0000 0.4109 (multiplicity 4)  1 Ru 2.34

Values from the calculation:
energy of formation = 1291 meV per atom
energy above the most stable polymorph in this dataset = 595 meV/atom
VASP energy = -5.44 eV per atom

TlTcRu2 | PBE-GGA | relaxed

abc: 7.2408 7.2408 5.5854
angles: 90.00 90.00 90.00
With the nearest neighbours (Å) after each atom.
Space group I-42d (No. 122)
Asymmetric unit:
Tl 0.0000 0.0000 0.0000 (multiplicity 4)  2 Tc 2.79, 8 Ru 2.94-3.11
Tc 0.0000 0.0000 0.5000 (multiplicity 4)  4 Ru 2.40
Ru 0.1954 0.7500 0.6250 (multiplicity 8)  2 Tc 2.40

Values from the calculation:
energy of formation = 841 meV per atom
energy above the most stable polymorph in this dataset = 505 meV/atom
VASP energy = -6.98 eV per atom

TlTcRu2 | PBE-GGA | relaxed

abc: 2.8783 2.8783 27.1965
angles: 90.00 90.00 120.00
With the nearest neighbours (Å) after each atom.
Space group R-3m (No. 166, hexagonal axes)
Asymmetric unit:
Tl 0.0000 0.0000 0.0000 (multiplicity 3)  6 Tl 2.88, 6 Ru 2.97
Tc 0.0000 0.0000 0.5000 (multiplicity 3)  6 Ru 2.66, 6 Tc 2.88
Ru 0.0000 0.0000 0.2429 (multiplicity 6)  3 Tc 2.66, 6 Ru 2.88, 3 Tl 2.97

Values from the calculation:
energy of formation = 456 meV per atom
energy above the most stable polymorph in this dataset = 120 meV/atom
VASP energy = -7.36 eV per atom